# 1
DFT (GGA-PBE) results for Cs2KSn after structural relaxation.

Calculated values
final energy: -1.347 eV per atom
M_tot: 0.30 μB per formula unit
crystal system: trigonal
offset from the most stable computed form: 323 meV/atom
formation energy: 1.4 eV/f.u.

```
Cs2KSn
1.0
2.211 1.276 16.014
-2.211 1.276 16.014
0.000 -2.553 16.014
Cs K Sn
2 1 1
direct
0.077 0.077 0.077
0.923 0.923 0.923
0.500 0.500 0.500
0.000 0.000 0.000
```

---

# 2
DFT (GGA-PBE) results for Cs2K2Sn after structural relaxation.

Calculated values
final energy: -1.533 eV per atom
M_tot: 0.00 μB per formula unit
crystal system: tetragonal
formation energy: 0.2 eV/f.u.

```
Cs2K2Sn
1.0
9.349 0.000 0.000
0.000 9.349 0.000
0.000 0.000 7.206
Cs K Sn
4 4 2
direct
0.198 0.302 0.000
0.302 0.802 0.000
0.698 0.198 0.000
0.802 0.698 0.000
0.157 0.657 0.500
0.343 0.157 0.500
0.657 0.843 0.500
0.843 0.343 0.500
0.000 0.000 0.500
0.500 0.500 0.500
```

---

# 3
DFT (GGA-PBE) results for Cs5K2Sn4 after structural relaxation.

Calculated values
final energy: -2.094 eV per atom
M_tot: 0.00 μB per formula unit
crystal system: monoclinic
formation energy: -0.6 eV/f.u.

```
Cs5K2Sn4
1.0
9.082 -4.181 0.000
9.082 4.181 0.000
-6.061 0.000 9.224
Cs K Sn
5 2 4
direct
0.000 0.000 0.000
0.137 0.639 0.602
0.361 0.863 0.398
0.639 0.137 0.602
0.863 0.361 0.398
0.271 0.271 0.938
0.729 0.729 0.062
0.246 0.246 0.252
0.424 0.424 0.337
0.576 0.576 0.663
0.754 0.754 0.748
```

---

# 4
DFT (GGA-PBE) results for Cs3KSn after structural relaxation.

Calculated values
final energy: -1.463 eV per atom
M_tot: 2.00 μB per formula unit
crystal system: cubic
offset from the most stable computed form: 0 meV/atom
formation energy: 0.3 eV/f.u.

```
Cs3KSn
1.0
7.662 0.000 0.000
0.000 7.662 0.000
0.000 0.000 7.662
Cs K Sn
3 1 1
direct
0.000 0.000 0.500
0.000 0.500 0.000
0.500 0.000 0.000
0.500 0.500 0.500
0.000 0.000 0.000
```

---

# 5
DFT (GGA-PBE) results for Cs2KSn after structural relaxation.

Calculated values
final energy: -1.537 eV per atom
M_tot: 0.00 μB per formula unit
crystal system: tetragonal
offset from the most stable computed form: 132 meV/atom
formation energy: 0.7 eV/f.u.

```
Cs2KSn
1.0
-2.868 2.868 13.790
2.868 -2.868 13.790
2.868 2.868 -13.790
Cs K Sn
4 2 2
direct
0.117 0.625 0.992
0.375 0.367 0.492
0.633 0.125 0.008
0.875 0.883 0.508
0.250 0.750 0.500
0.500 0.500 0.000
0.000 0.000 0.000
0.750 0.250 0.500
```

---

# 6
DFT (GGA-PBE) results for Cs3K2Sn4 after structural relaxation.

Calculated values
final energy: -2.493 eV per atom
M_tot: 0.00 μB per formula unit
crystal system: triclinic
formation energy: -1.7 eV/f.u.

```
Cs3K2Sn4
1.0
6.542 0.000 0.000
0.042 8.669 0.000
1.782 4.324 7.476
Cs K Sn
3 2 4
direct
0.000 0.000 0.000
0.472 0.812 0.371
0.528 0.188 0.629
0.295 0.559 0.887
0.705 0.441 0.113
0.106 0.497 0.340
0.109 0.162 0.341
0.891 0.838 0.659
0.894 0.503 0.660
```

---

# 7
DFT (GGA-PBE) results for Cs2K3Sn2 after structural relaxation.

Calculated values
final energy: -1.946 eV per atom
M_tot: 0.72 μB per formula unit
crystal system: monoclinic
formation energy: -0.6 eV/f.u.

```
Cs2K3Sn2
1.0
7.242 -3.204 0.000
7.242 3.204 0.000
-4.888 0.000 8.215
Cs K Sn
2 3 2
direct
0.161 0.161 0.297
0.839 0.839 0.703
0.349 0.349 0.043
0.500 0.500 0.500
0.651 0.651 0.957
0.098 0.098 0.668
0.902 0.902 0.332
```

---

# 8
DFT (GGA-PBE) results for CsKSn6 after structural relaxation.

Calculated values
final energy: -3.148 eV per atom
M_tot: 0.00 μB per formula unit
crystal system: tetragonal
formation energy: 0.8 eV/f.u.

```
CsKSn6
1.0
5.895 0.000 0.000
0.000 5.895 0.000
0.000 0.000 8.394
Cs K Sn
1 1 6
direct
0.000 0.000 0.000
0.000 0.000 0.500
0.000 0.500 0.314
0.000 0.500 0.686
0.500 0.000 0.314
0.500 0.000 0.686
0.500 0.500 0.186
0.500 0.500 0.814
```

---

# 9
DFT (GGA-PBE) results for CsKSn12 after structural relaxation.

Calculated values
final energy: -3.333 eV per atom
M_tot: 0.00 μB per formula unit
crystal system: tetragonal
formation energy: 3.3 eV/f.u.

```
CsKSn12
1.0
7.402 0.000 0.000
0.000 7.402 0.000
0.000 0.000 14.247
Cs K Sn
1 1 12
direct
0.000 0.000 0.000
0.000 0.000 0.500
0.196 0.500 0.250
0.196 0.500 0.750
0.500 0.196 0.250
0.500 0.196 0.750
0.500 0.500 0.103
0.500 0.500 0.397
0.500 0.500 0.603
0.500 0.500 0.897
0.500 0.804 0.250
0.500 0.804 0.750
0.804 0.500 0.250
0.804 0.500 0.750
```

---

# 10
DFT (GGA-PBE) results for Cs2K4Sn after structural relaxation.

Calculated values
final energy: -1.431 eV per atom
M_tot: 0.00 μB per formula unit
crystal system: tetragonal
formation energy: 0.1 eV/f.u.

```
Cs2K4Sn
1.0
-3.473 3.473 11.254
3.473 -3.473 11.254
3.473 3.473 -11.254
Cs K Sn
2 4 1
direct
0.140 0.140 0.000
0.860 0.860 0.000
0.000 0.500 0.500
0.346 0.346 0.000
0.500 0.000 0.500
0.654 0.654 0.000
0.500 0.500 0.000
```

---

# 11
DFT (GGA-PBE) results for Cs2KSn2 after structural relaxation.

Calculated values
final energy: -2.139 eV per atom
M_tot: 0.00 μB per formula unit
crystal system: tetragonal
offset from the most stable computed form: 168 meV/atom
formation energy: 0.1 eV/f.u.

```
Cs2KSn2
1.0
11.278 0.000 0.000
0.000 11.278 0.000
0.000 0.000 3.827
Cs K Sn
4 2 4
direct
0.197 0.303 0.000
0.303 0.803 0.000
0.697 0.197 0.000
0.803 0.697 0.000
0.000 0.000 0.000
0.500 0.500 0.000
0.092 0.592 0.500
0.408 0.092 0.500
0.592 0.908 0.500
0.908 0.408 0.500
```

---

# 12
DFT (GGA-PBE) results for Cs3KSn after structural relaxation.

Calculated values
final energy: -1.060 eV per atom
M_tot: 2.01 μB per formula unit
crystal system: cubic
offset from the most stable computed form: 404 meV/atom
formation energy: 2.4 eV/f.u.

```
Cs3KSn
1.0
7.926 0.000 0.000
0.000 7.926 0.000
0.000 0.000 7.926
Cs K Sn
3 1 1
direct
0.000 0.000 0.500
0.000 0.500 0.000
0.500 0.000 0.000
0.000 0.000 0.000
0.500 0.500 0.500
```